PmGaSnHg: relaxed, GGA-PBE.

Output
calculated formation energy	-1.92	eV/f.u.
D(E_F)	1.75	states/eV/f.u.
SG	Pmmm

Cell and atoms, written as POSCAR:
```
PmGaSnHg
1.0
4.4938 0.0000 0.0000
0.0000 4.6114 0.0000
0.0000 0.0000 4.6669
Ga Hg Sn Pm
1 1 1 1
Direct
0.5000 0.5000 0.0000 Ga
0.0000 0.5000 0.5000 Hg
0.5000 0.0000 0.5000 Sn
0.0000 0.0000 0.0000 Pm
```


Ba2TbGe3Pt4: relaxed, GGA-PBE.

Output
calculated formation energy	-8.21	eV/f.u.
D(E_F)	5.23	states/eV/f.u.
SG	P-4m2

Cell and atoms, written as POSCAR:
```
Ba2TbGe3Pt4
1.0
4.5346 0.0000 0.0000
0.0000 4.5346 0.0000
0.0000 0.0000 11.0422
Ge Ba Pt Tb
3 2 4 1
Direct
0.5000 0.0000 0.8862 Ge
0.0000 0.5000 0.1138 Ge
0.0000 0.0000 0.5000 Ge
0.0000 0.5000 0.7655 Ba
0.5000 0.0000 0.2345 Ba
0.0000 0.5000 0.3491 Pt
0.0000 0.0000 0.0000 Pt
0.5000 0.5000 0.0000 Pt
0.5000 0.0000 0.6509 Pt
0.5000 0.5000 0.5000 Tb
```


CoCu2Mo: relaxed, GGA-PBE.

Output
calculated formation energy	1.11	eV/f.u.
D(E_F)	4.20	states/eV/f.u.
SG	Immm

Cell and atoms, written as POSCAR:
```
CoCu2Mo
1.0
-3.7125 1.4040 -3.2355
0.1013 -1.4099 -4.9218
-0.1863 -1.2540 4.9613
Co Cu Mo
1 2 1
Direct
0.2500 0.7500 0.5000 Co
0.4864 0.4864 0.0000 Cu
0.0136 0.0136 0.0000 Cu
0.7500 0.2500 0.5000 Mo
```


Pu2SbAu2: relaxed, GGA-PBE.

Output
formation energy from raw total energies	-0.46	eV/atom
D(E_F)	23.05	states/eV/f.u.
SG	P4/mbm

Cell and atoms, written as POSCAR:
```
Pu2SbAu2
1.0
-2.2364 -0.7632 -3.1568
5.6574 -4.8084 -2.8455
-3.2987 -6.1429 3.8220
Pu Au Sb
4 4 2
Direct
0.5000 0.3235 0.1765 Pu
0.5000 0.6765 0.8235 Pu
0.5000 0.1765 0.6765 Pu
0.5000 0.8235 0.3235 Pu
0.0000 0.1236 0.3764 Au
0.0000 0.6236 0.1236 Au
0.0000 0.3764 0.8764 Au
0.0000 0.8764 0.6236 Au
0.0000 0.0000 0.0000 Sb
0.0000 0.5000 0.5000 Sb
```